# 1
ErCoOs | Alexandria | PBE-GGA | optimized geometry; total magnetic moment = 0.00 μB/atom; E above lowest polymorph = 474.7 meV/atom; final energy = -7.46 eV per atom; symmetry = P4_12_12; formation energy from the elements = 0.1684 eV per atom
1.0
6.702 0.000 0.000
0.000 6.702 0.000
0.000 0.000 5.576
Er Co Os
4 4 4
direct
0.237 0.237 0.000
0.263 0.737 0.250
0.737 0.263 0.750
0.763 0.763 0.500
0.160 0.840 0.750
0.340 0.340 0.500
0.660 0.660 0.000
0.840 0.160 0.250
0.102 0.102 0.500
0.398 0.602 0.750
0.602 0.398 0.250
0.898 0.898 0.000

# 2
Ac2La3PaN6 | Alexandria | PBE-GGA | optimized geometry; total magnetic moment = 0.00 μB/atom; final energy = -8.22 eV per atom; symmetry = C2/m; ΔE_f (raw) = -1.351 eV/atom
1.0
3.261 -5.672 0.000
3.261 5.672 0.000
-2.166 0.000 6.072
Ac La Pa N
2 3 1 6
direct
0.167 0.833 0.000
0.833 0.167 0.000
0.000 0.000 0.500
0.339 0.661 0.500
0.661 0.339 0.500
0.500 0.500 0.000
0.133 0.422 0.768
0.284 0.284 0.243
0.422 0.133 0.768
0.578 0.867 0.232
0.716 0.716 0.757
0.867 0.578 0.232

# 3
Hg2Se2Br | Alexandria | PBE-GGA | optimized geometry; total magnetic moment = 0.00 μB/atom; E above lowest polymorph = 0.0 meV/atom; final energy = -2.10 eV per atom; symmetry = P-1; ΔE_f (raw) = -0.248 eV/atom
1.0
6.498 0.000 0.000
-2.271 6.647 0.000
-3.070 -1.580 7.137
Hg Se Br
4 4 2
direct
0.076 0.263 0.126
0.308 0.277 0.744
0.692 0.723 0.256
0.924 0.737 0.874
0.089 0.891 0.236
0.387 0.596 0.400
0.613 0.404 0.600
0.911 0.109 0.764
0.355 0.719 0.865
0.645 0.281 0.135

# 4
Sm2HoSe2S2 | Alexandria | PBE-GGA | optimized geometry; total magnetic moment = 0.00 μB/atom; final energy = -5.76 eV per atom; symmetry = I4/mmm; ΔE_f (raw) = -1.587 eV/atom
1.0
-2.526 2.526 7.385
2.526 -2.526 7.385
2.526 2.526 -7.385
Sm Ho Se S
2 1 2 2
direct
0.122 0.122 0.000
0.878 0.878 0.000
0.500 0.500 0.000
0.313 0.313 0.000
0.687 0.687 0.000
0.000 0.500 0.500
0.500 0.000 0.500

- Look up the total magnetic moment of the first one.
  0.00 μB/atom

- Look up the final energy of the second one.
  -8.22 eV per atom

- Which value of total magnetic moment does entry 1 give?
  0.00 μB/atom